This record from Alexandria describes a relaxed structure of Zn5Ni. The functional is PBEsol.

abc: 5.006 5.006 6.197
angles: 104.10 104.10 31.27
Positions (direct):
Zn 0.000 0.000 0.000
Zn 0.050 0.050 0.617
Zn 0.389 0.389 0.285
Zn 0.675 0.675 0.352
Zn 0.728 0.728 0.934
Ni 0.334 0.334 0.669

Values from the calculation:
ΔH_f (0 K) ... -0.1110 eV per atom
Space-group type ... No. 8
Calculated volume ... 13.00 Å³ per atom

***

This record from Alexandria describes a relaxed structure of FeRe2Rh. The functional is PBEsol.

abc: 4.497 4.497 2.694
angles: 90.00 90.00 90.00
Positions (direct):
Fe 0.000 0.000 0.000
Re 0.000 0.500 0.500
Re 0.500 0.000 0.500
Rh 0.500 0.500 0.000

Values from the calculation:
ΔE to the lowest computed polymorph ... 317.2 meV per atom
ΔH_f (0 K) ... 0.3411 eV per atom
Space-group type ... No. 123
Calculated volume ... 13.62 Å³ per atom

***

This record from Alexandria describes a relaxed structure of Mn2HgSb. The functional is PBEsol.

abc: 4.631 4.631 4.631
angles: 60.00 60.00 60.00
Positions (direct):
Mn 0.000 0.000 0.000
Mn 0.250 0.250 0.250
Hg 0.750 0.750 0.750
Sb 0.500 0.500 0.500

Values from the calculation:
ΔE to the lowest computed polymorph ... 376.2 meV per atom
Energy relative to the elements, uncorrected ... 0.6776 eV/atom
Space-group type ... No. 216
Calculated volume ... 17.55 Å³ per atom

***

This record from Alexandria describes a relaxed structure of LaInTc2Au. The functional is PBEsol.

abc: 4.932 4.932 5.370
angles: 90.00 90.00 90.00
Positions (direct):
La 0.000 0.000 0.000
In 0.500 0.500 0.000
Tc 0.000 0.500 0.500
Tc 0.500 0.000 0.500
Au 0.000 0.000 0.500

Values from the calculation:
ΔH_f (0 K) ... 1.3219 eV per atom
Space-group type ... No. 123
Calculated volume ... 26.13 Å³ per atom

***

This record from Alexandria describes a relaxed structure of CrOs2Rh. The functional is PBEsol.

abc: 4.586 4.586 4.586
angles: 131.56 131.56 70.93
Positions (direct):
Cr 0.000 0.000 0.000
Os 0.500 0.500 0.000
Os 0.750 0.250 0.500
Rh 0.250 0.750 0.500

Values from the calculation:
ΔE to the lowest computed polymorph ... 0.5 meV per atom
ΔH_f (0 K) ... 0.0413 eV per atom
Space-group type ... No. 119
Calculated volume ... 13.22 Å³ per atom

***

This record from Alexandria describes a relaxed structure of CaHg3I. The functional is PBEsol.

abc: 5.753 5.753 5.753
angles: 90.00 90.00 90.00
Positions (direct):
Ca 0.000 0.000 0.000
Hg 0.000 0.500 0.500
Hg 0.500 0.000 0.500
Hg 0.500 0.500 0.000
I 0.500 0.500 0.500

Values from the calculation:
Energy relative to the elements, uncorrected ... 0.3896 eV/atom
Space-group type ... No. 221
Calculated volume ... 38.07 Å³ per atom

***

Calculated values (states/eV per atom) of Fermi-level density of states for the records, taken in order: 0.339; 1.224; 1.346; 1.095; 1.009; 0.609.